# 1
## Gd2ErTh (PBE-GGA)

Data for an optimized crystal structure of Gd2ErTh.

Summary:
crystal system	tetragonal
magnetic moment	14.59	μB per cell
DOS(E_F)	5.11	states/eV per cell
E_tot	-9.9979	eV per atom
ΔE to the lowest computed polymorph	0	meV per atom
energy relative to the elements	14.7	kJ/mol of formula units
ρ	9.31	g cm⁻³

Cell: 5.067 5.012 5.012 Å, 90.00 90.00 90.00°
Each line ends with the local moment (μB).
Element x y z (fractional)
Gd 0.000 0.000 0.500  -7.14
Gd 0.000 0.500 0.000  -7.14
Th 0.500 0.500 0.500  0.06
Er 0.500 0.000 0.000  0.00

# 2
## GdErThTl (PBE-GGA)

Data for an optimized crystal structure of GdErThTl.

Summary:
crystal system	cubic
magnetic moment	8.24	μB per cell
DOS(E_F)	6.65	states/eV per cell
E_tot	-7.0440	eV per atom
energy relative to the elements	24.5	kJ/mol of formula units
ρ	10.82	g cm⁻³

Cell: 5.487 5.487 5.487 Å, 60.00 60.00 60.00°
Each line ends with the local moment (μB).
Element x y z (fractional)
Tl 0.000 0.000 0.000  0.01
Gd 0.750 0.750 0.750  -7.20
Th 0.500 0.500 0.500  -0.36
Er 0.250 0.250 0.250  -0.16